1.
This record from Alexandria via LeMat-Bulk describes an optimized crystal structure of PrSmTe2. The functional is PBE.

## Properties
Its calculated density is 7.80 g/cm³. Its symmetry is No. 123. The calculation puts the energy relative to the lowest polymorph listed for this composition at 116 meV/atom. The uncorrected formation energy is -5.2 eV/f.u.

a b c (Å): 3.8731 3.8731 7.7505
angles (deg): 90.00 90.00 90.00
Closest atoms and distances in Å follow each position.
Atoms (fractional coordinates):
Sm  0.5000  0.5000  0.0000  8 Te 3.33
Te  0.0000  0.0000  0.7547  4 Sm 3.33, 4 Pr 3.38
Pr  0.5000  0.5000  0.5000  8 Te 3.38
Te  0.0000  0.0000  0.2453  4 Sm 3.33, 4 Pr 3.38

=====

2.
This record from Alexandria via LeMat-Bulk describes an optimized crystal structure of PrSm6Te8. The functional is PBE.

## Properties
Its calculated density is 7.04 g/cm³. Its symmetry is No. 148. The calculation puts the energy relative to the lowest polymorph listed for this composition at 122 meV/atom. The uncorrected formation energy is -19.8 eV/f.u.

a b c (Å): 8.3303 8.3303 8.3303
angles (deg): 69.11 69.11 69.11
Closest atoms and distances in Å follow each position.
Atoms (fractional coordinates):
Te  0.8082  0.3706  0.0977  5 Sm 3.15-3.31, 1 Pr 3.18
Sm  0.3056  0.9201  0.5461  7 Te 3.15-3.32
Sm  0.0799  0.4539  0.6944  7 Te 3.15-3.32
Te  0.9023  0.1918  0.6294  5 Sm 3.15-3.31, 1 Pr 3.18
Te  0.3263  0.3263  0.3263  6 Sm 3.26-3.32
Sm  0.5461  0.3056  0.9201  7 Te 3.15-3.32
Te  0.6737  0.6737  0.6737  6 Sm 3.26-3.32
Te  0.3706  0.0977  0.8082  5 Sm 3.15-3.31, 1 Pr 3.18
Te  0.1918  0.6294  0.9023  5 Sm 3.15-3.31, 1 Pr 3.18
Te  0.0977  0.8082  0.3706  5 Sm 3.15-3.31, 1 Pr 3.18
Sm  0.9201  0.5461  0.3056  7 Te 3.15-3.32
Te  0.6294  0.9023  0.1918  5 Sm 3.15-3.31, 1 Pr 3.18
Sm  0.4539  0.6944  0.0799  7 Te 3.15-3.32
Sm  0.6944  0.0799  0.4539  7 Te 3.15-3.32
Pr  0.0000  0.0000  0.0000  6 Te 3.18

=====

| no. | VASP energy (eV per atom) |
| --- | --- |
| 1 | -5.25 |
| 2 | -5.20 |